A geometry-optimized ScTiTe2 structure. Source: Alexandria, functional PBE-GGA.

a b c (Å): 6.3564 6.3564 13.3999
angles (deg): 90.00 90.00 90.00
Closest atoms and distances in Å follow each position.
Space group I-42d (No. 122)
One atom of each set of equivalent atoms:
Sc1 0.0000 0.0000 0.0000 [4 per cell]  4 Te 2.84
Ti1 0.0000 0.0000 0.5000 [4 per cell]  4 Te 2.76
Te1 0.2387 0.2500 0.6250 [8 per cell]  2 Ti 2.76, 2 Sc 2.84

Output
Calculated volume (Å³ per atom): 33.84
Raw total energy (eV/atom): -5.59
Energy above the most stable polymorph in this dataset (kJ per mole of atoms): 18.5
Uncorrected formation energy (meV per atom): -461

A geometry-optimized ScTiTe2 structure. Source: Alexandria, functional PBE-GGA.

a b c (Å): 7.0684 7.0684 7.0684
angles (deg): 90.00 90.00 90.00
Closest atoms and distances in Å follow each position.
Space group Fm-3m (No. 225)
One atom of each set of equivalent atoms:
Sc1 0.0000 0.0000 0.0000 [4 per cell]  8 Te 3.06
Ti1 0.0000 0.0000 0.5000 [4 per cell]  8 Te 3.06
Te1 0.2500 0.2500 0.2500 [8 per cell]  4 Ti 3.06, 4 Sc 3.06

Output
Calculated volume (Å³ per atom): 22.07
Raw total energy (eV/atom): -5.78
Energy above the most stable polymorph in this dataset (kJ per mole of atoms): 0.0
Uncorrected formation energy (meV per atom): -652